DFT (PBE-GGA) results for a relaxed CdIr3C crystal.

V in Å³/atom: 14.26
Theoretical density in Mg/m³: 16.323
Formation enthalpy at 0 K in meV/atom: 321
Excess energy over the best structure of this formula in the dataset in meV/atom: 0

abc: 4.147 4.147 4.147
angles: 90.00 90.00 90.00
Sites, in units of the cell vectors:
Ir (0.000, 0.000, 0.500)
Ir (0.000, 0.500, 0.000)
Cd (0.500, 0.500, 0.500)
C (0.000, 0.000, 0.000)
Ir (0.500, 0.000, 0.000)